Record 1
AcCeSm2: relaxed, GGA-PBE.

Results
E_tot (eV per atom): -4.60
Magnetic moment (μB per atom): 0.286
E above lowest polymorph (meV per atom): 167
SG: R-3m (166)
Formation enthalpy at 0 K (meV/atom): 267.3

a b c (Å): 12.946 12.946 12.946
angles (deg): 15.96 15.96 15.96
Atoms (fractional coordinates):
Ac (0.000, 0.000, 0.000)
Ce (0.500, 0.500, 0.500)
Sm (0.413, 0.413, 0.413)
Sm (0.587, 0.587, 0.587)


Record 2
AcCeSm2: relaxed, GGA-PBE.

Results
E_tot (eV per atom): -4.71
Magnetic moment (μB per atom): 0.354
E above lowest polymorph (meV per atom): 60
SG: P4/mmm (123)
Formation enthalpy at 0 K (meV/atom): 160.0

a b c (Å): 4.271 4.271 7.810
angles (deg): 90.00 90.00 90.00
Atoms (fractional coordinates):
Ac (0.000, 0.000, 0.000)
Ce (0.000, 0.000, 0.500)
Sm (0.500, 0.500, 0.280)
Sm (0.500, 0.500, 0.720)


Record 3
AcCe2Sm: relaxed, GGA-PBE.

Results
E_tot (eV per atom): -4.87
Magnetic moment (μB per atom): 0.455
E above lowest polymorph (meV per atom): 149
SG: R-3m (166)
Formation enthalpy at 0 K (meV/atom): 300.0

a b c (Å): 12.899 12.899 12.899
angles (deg): 15.78 15.78 15.78
Atoms (fractional coordinates):
Ac (0.000, 0.000, 0.000)
Ce (0.090, 0.090, 0.090)
Ce (0.910, 0.910, 0.910)
Sm (0.500, 0.500, 0.500)


Record 4
AcCeSm2: relaxed, GGA-PBE.

Results
E_tot (eV per atom): -4.77
Magnetic moment (μB per atom): 0.288
E above lowest polymorph (meV per atom): 0
SG: R3m (160)
Formation enthalpy at 0 K (meV/atom): 100.4

a b c (Å): 12.132 12.132 12.132
angles (deg): 17.61 17.61 17.61
Atoms (fractional coordinates):
Ac (0.000, 0.000, 0.000)
Ce (0.166, 0.166, 0.166)
Sm (0.420, 0.420, 0.420)
Sm (0.580, 0.580, 0.580)


Record 5
AcCe2Sm: relaxed, GGA-PBE.

Results
E_tot (eV per atom): -5.02
Magnetic moment (μB per atom): 0.491
E above lowest polymorph (meV per atom): 0
SG: P4/mmm (123)
Formation enthalpy at 0 K (meV/atom): 150.7

a b c (Å): 5.083 5.083 5.224
angles (deg): 90.00 90.00 90.00
Atoms (fractional coordinates):
Ac (0.000, 0.000, 0.000)
Ce (0.000, 0.500, 0.500)
Ce (0.500, 0.000, 0.500)
Sm (0.500, 0.500, 0.000)


Record 6
Ac2CeSm: relaxed, GGA-PBE.

Results
E_tot (eV per atom): -4.50
Magnetic moment (μB per atom): 0.747
E above lowest polymorph (meV per atom): 108
SG: Fm-3m (225)
Formation enthalpy at 0 K (meV/atom): 214.2

a b c (Å): 6.035 6.035 6.035
angles (deg): 60.00 60.00 60.00
Atoms (fractional coordinates):
Ac (0.250, 0.250, 0.250)
Ac (0.750, 0.750, 0.750)
Ce (0.000, 0.000, 0.000)
Sm (0.500, 0.500, 0.500)


Record 7
AcCeSm2: relaxed, GGA-PBE.

Results
E_tot (eV per atom): -4.65
Magnetic moment (μB per atom): 0.326
E above lowest polymorph (meV per atom): 117
SG: Fm-3m (225)
Formation enthalpy at 0 K (meV/atom): 217.0

a b c (Å): 5.899 5.899 5.899
angles (deg): 60.00 60.00 60.00
Atoms (fractional coordinates):
Ac (0.000, 0.000, 0.000)
Ce (0.500, 0.500, 0.500)
Sm (0.250, 0.250, 0.250)
Sm (0.750, 0.750, 0.750)


Record 8
Ac2CeSm: relaxed, GGA-PBE.

Results
E_tot (eV per atom): -4.60
Magnetic moment (μB per atom): 0.291
E above lowest polymorph (meV per atom): 13
SG: P4/mmm (123)
Formation enthalpy at 0 K (meV/atom): 118.9

a b c (Å): 5.395 5.395 5.238
angles (deg): 90.00 90.00 90.00
Atoms (fractional coordinates):
Ac (0.000, 0.500, 0.000)
Ac (0.500, 0.000, 0.000)
Ce (0.000, 0.000, 0.500)
Sm (0.500, 0.500, 0.500)


Q: formation enthalpy at 0 K of number 8 (Ac2CeSm)?
A: 118.9 meV/atom


Copy entry 5 word for word.
AcCe2Sm: relaxed, GGA-PBE.

Results
E_tot (eV per atom): -5.02
Magnetic moment (μB per atom): 0.491
E above lowest polymorph (meV per atom): 0
SG: P4/mmm (123)
Formation enthalpy at 0 K (meV/atom): 150.7

a b c (Å): 5.083 5.083 5.224
angles (deg): 90.00 90.00 90.00
Atoms (fractional coordinates):
Ac (0.000, 0.000, 0.000)
Ce (0.000, 0.500, 0.500)
Ce (0.500, 0.000, 0.500)
Sm (0.500, 0.500, 0.000)


Q: Look up the E_tot of the first one.
A: -4.60 eV per atom


Q: The highest formation enthalpy at 0 K belongs to which entry?
A: number 3